Entry 1:
Entry from Alexandria via LeMat-Bulk: a geometry-optimized Mg2MnOs structure (GGA-PBE).

Results
Volume ... 63.88 Å³/f.u.
ΔE to the lowest computed polymorph ... 0.235 eV per atom
Formation enthalpy at 0 K ... 1.27 eV per formula unit

a = 9.3912 Å, b = 9.3912 Å, c = 9.3912 Å
α = 17.30°, β = 17.30°, γ = 17.30°
Closest atoms and distances in Å follow each position.
Positions (direct):
Mg  0.0019  0.0019  0.0019  3 Os 2.79, 6 Mg 2.82, 3 Mn 2.87
Mg  0.4981  0.4981  0.4981  3 Os 2.79, 6 Mg 2.82, 3 Mn 2.87
Mn  0.2500  0.2500  0.2500  6 Mn 2.82, 6 Mg 2.87
Os  0.7500  0.7500  0.7500  6 Mg 2.79, 6 Os 2.82

***

Entry 2:
Entry from Alexandria via LeMat-Bulk: a geometry-optimized Y2MoP structure (GGA-PBE).

Results
Volume ... 88.67 Å³/f.u.
Formation enthalpy at 0 K ... -1.41 eV per formula unit

a = 3.3315 Å, b = 3.3315 Å, c = 7.9890 Å
α = 90.00°, β = 90.00°, γ = 90.00°
Closest atoms and distances in Å follow each position.
Positions (direct):
Y  0.0000  0.0000  0.9277  1 Mo 2.86, 4 P 3.02
Y  0.5000  0.5000  0.3117  1 P 3.03, 4 Mo 3.13, 4 Y 3.33
Mo  0.0000  0.0000  0.5696  4 P 2.55
P  0.5000  0.5000  0.6910  4 Mo 2.55

***

Entry 3:
Entry from Alexandria via LeMat-Bulk: a geometry-optimized Sc5Co2Sb structure (GGA-PBE).

Results
Volume ... 161.06 Å³/f.u.
Energy relative to the elements, uncorrected ... -0.472 eV per atom

a = 6.8255 Å, b = 6.8255 Å, c = 8.4322 Å
α = 113.87°, β = 113.87°, γ = 90.00°
Closest atoms and distances in Å follow each position.
Positions (direct):
Sc  0.5361  0.7022  0.7383  3 Co 2.67-2.73
Sc  0.7978  0.9639  0.2617  3 Co 2.67-2.73
Sc  0.0000  0.0000  0.0000  4 Co 2.68
Sc  0.5000  0.5000  0.0000  4 Co 2.68
Sc  0.2022  0.0361  0.7383  3 Co 2.67-2.73
Sc  0.7022  0.2022  0.7383  3 Co 2.67-2.73
Sc  0.0361  0.5361  0.7383  3 Co 2.67-2.73
Sc  0.2978  0.7978  0.2617  3 Co 2.67-2.73
Sc  0.9639  0.4639  0.2617  3 Co 2.67-2.73
Sc  0.4639  0.2978  0.2617  3 Co 2.67-2.73
Co  0.1294  0.3706  0.0000  1 Co 2.50, 8 Sc 2.67-2.73
Co  0.6294  0.1294  0.0000  1 Co 2.50, 8 Sc 2.67-2.73
Co  0.3706  0.8706  0.0000  1 Co 2.50, 8 Sc 2.67-2.73
Co  0.8706  0.6294  0.0000  1 Co 2.50, 8 Sc 2.67-2.73
Sb  0.7500  0.7500  0.5000  8 Sc 3.03
Sb  0.2500  0.2500  0.5000  8 Sc 3.03

***

Entry 4:
Entry from Alexandria via LeMat-Bulk: a geometry-optimized RbCuI2O8 structure (GGA-PBE).

Results
Volume ... 226.34 Å³/f.u.
Energy relative to the elements, uncorrected ... -0.404 eV per atom

a = 5.4479 Å, b = 5.4479 Å, c = 9.3508 Å
α = 73.06°, β = 73.06°, γ = 60.00°
Closest atoms and distances in Å follow each position.
Positions (direct):
Rb  0.5000  0.5000  0.5000  6 O 3.25
Cu  0.0000  0.0000  0.0000  6 O 2.08
I  0.2661  0.2661  0.2016  4 O 1.82-1.84
I  0.7339  0.7339  0.7984  4 O 1.82-1.84
O  0.1973  0.1973  0.4081  1 I 1.82
O  0.6291  0.2406  0.1399  1 I 1.84
O  0.8027  0.8027  0.5919  1 I 1.82
O  0.9904  0.6291  0.1399  1 I 1.84
O  0.0096  0.3709  0.8601  1 I 1.84
O  0.2406  0.9904  0.1399  1 I 1.84
O  0.7594  0.0096  0.8601  1 I 1.84
O  0.3709  0.7594  0.8601  1 I 1.84

***

Entry 5:
Entry from Alexandria via LeMat-Bulk: a geometry-optimized Ba3TcNi structure (GGA-PBE).

Results
Volume ... 191.25 Å³/f.u.
ΔE to the lowest computed polymorph ... 0.000 eV per atom
Formation enthalpy at 0 K ... 4.05 eV per formula unit

a = 5.7615 Å, b = 5.7615 Å, c = 5.7615 Å
α = 90.00°, β = 90.00°, γ = 90.00°
Closest atoms and distances in Å follow each position.
Positions (direct):
Ni  0.5000  0.5000  0.5000  12 Ba 4.07
Ba  0.0000  0.5000  0.0000  2 Tc 2.88
Ba  0.0000  0.0000  0.5000  2 Tc 2.88
Ba  0.5000  0.0000  0.0000  2 Tc 2.88
Tc  0.0000  0.0000  0.0000  6 Ba 2.88

***

Entry 6:
Entry from Alexandria via LeMat-Bulk: a geometry-optimized La2Pm7Nd2 structure (GGA-PBE).

Results
Volume ... 392.15 Å³/f.u.
ΔE to the lowest computed polymorph ... 0.000 eV per atom
Formation enthalpy at 0 K ... 1.54 eV per formula unit

a = 8.8989 Å, b = 6.2232 Å, c = 8.8989 Å
α = 63.46°, β = 96.54°, γ = 116.54°
Closest atoms and distances in Å follow each position.
Positions (direct):
La  0.2327  0.8795  0.7673  8 Pm 3.44-3.79, 2 Nd 3.63
La  0.7673  0.1205  0.2327  8 Pm 3.44-3.79, 2 Nd 3.63
Pm  0.4118  0.1767  0.0645  2 Pm 3.26-3.38, 2 Nd 3.39-3.56, 1 La 3.44
Pm  0.0645  0.8233  0.4118  2 Pm 3.26-3.38, 2 Nd 3.39-3.56, 1 La 3.44
Pm  0.5882  0.8233  0.9355  2 Pm 3.26-3.38, 2 Nd 3.39-3.56, 1 La 3.44
Pm  0.9355  0.1767  0.5882  2 Pm 3.26-3.38, 2 Nd 3.39-3.56, 1 La 3.44
Pm  0.5881  0.3707  0.4118  3 La 3.54-3.79, 6 Pm 3.55-3.90, 2 Nd 3.77
Pm  0.0000  0.0000  0.0000  4 Pm 3.38, 2 La 3.59
Pm  0.4118  0.6293  0.5881  3 La 3.54-3.79, 6 Pm 3.55-3.90, 2 Nd 3.77
Nd  0.7806  0.5000  0.7806  6 Pm 3.39-3.77, 2 La 3.63
Nd  0.2194  0.5000  0.2194  6 Pm 3.39-3.77, 2 La 3.63

***

Entry 7:
Entry from Alexandria via LeMat-Bulk: a geometry-optimized Tb5Nd2YTm structure (GGA-PBE).

Results
Volume ... 295.51 Å³/f.u.
Formation enthalpy at 0 K ... 2.46 eV per formula unit

a = 8.6121 Å, b = 8.6121 Å, c = 10.0291 Å
α = 115.43°, β = 115.43°, γ = 90.00°
Closest atoms and distances in Å follow each position.
Positions (direct):
Tb  0.9272  0.4272  0.2822  1 Nd 3.03, 1 Tm 3.13
Tb  0.6450  0.1450  0.7178  1 Nd 3.03, 1 Tm 3.13
Tb  0.0728  0.5728  0.7178  1 Nd 3.03, 1 Tm 3.13
Tb  0.1450  0.0728  0.7178  1 Nd 3.03, 1 Tm 3.13
Tb  0.5728  0.6450  0.7178  1 Nd 3.03, 1 Tm 3.13
Tb  0.8550  0.9272  0.2822  1 Nd 3.03, 1 Tm 3.13
Tb  0.4272  0.3550  0.2822  1 Nd 3.03, 1 Tm 3.13
Tb  0.3550  0.8550  0.2822  1 Nd 3.03, 1 Tm 3.13
Tb  0.5000  0.5000  0.0000  4 Nd 3.44, 8 Tb 3.81
Tb  0.0000  0.0000  0.0000  4 Nd 3.44, 8 Tb 3.81
Nd  0.1188  0.3812  0.0000  1 Nd 2.89, 2 Tb 3.03
Nd  0.6188  0.1188  0.0000  1 Nd 2.89, 2 Tb 3.03
Nd  0.3812  0.8812  0.0000  1 Nd 2.89, 2 Tb 3.03
Nd  0.8812  0.6188  0.0000  1 Nd 2.89, 2 Tb 3.03
Y  0.2500  0.2500  0.5000  8 Tb 3.53
Y  0.7500  0.7500  0.5000  8 Tb 3.53
Tm  0.2500  0.7500  0.5000  4 Tb 3.13
Tm  0.7500  0.2500  0.5000  4 Tb 3.13

***

Entry 8:
Entry from Alexandria via LeMat-Bulk: a geometry-optimized ScZnAs3 structure (GGA-PBE).

Results
Volume ... 111.53 Å³/f.u.
ΔE to the lowest computed polymorph ... 0.000 eV per atom
Formation enthalpy at 0 K ... 1.46 eV per formula unit

a = 4.8136 Å, b = 4.8136 Å, c = 4.8136 Å
α = 90.00°, β = 90.00°, γ = 90.00°
Closest atoms and distances in Å follow each position.
Positions (direct):
Sc  0.5000  0.5000  0.5000  12 As 3.40
As  0.0000  0.5000  0.0000  2 Zn 2.41
As  0.0000  0.0000  0.5000  2 Zn 2.41
As  0.5000  0.0000  0.0000  2 Zn 2.41
Zn  0.0000  0.0000  0.0000  6 As 2.41

***

Entry 9:
Entry from Alexandria via LeMat-Bulk: a geometry-optimized Sc2SnBr structure (GGA-PBE).

Results
Volume ... 134.78 Å³/f.u.
ΔE to the lowest computed polymorph ... 0.000 eV per atom
Energy relative to the elements, uncorrected ... -0.664 eV per atom

a = 8.1867 Å, b = 8.1867 Å, c = 8.1867 Å
α = 31.73°, β = 31.73°, γ = 31.73°
Closest atoms and distances in Å follow each position.
Positions (direct):
Sc  0.8870  0.8870  0.8870  1 Br 2.63, 3 Sn 2.87
Sc  0.1130  0.1130  0.1130  1 Br 2.63, 3 Sn 2.87
Sn  0.5000  0.5000  0.5000  6 Sc 2.87
Br  0.0000  0.0000  0.0000  2 Sc 2.63

***

Entry 10:
Entry from Alexandria via LeMat-Bulk: a geometry-optimized BaTlCoP structure (GGA-PBE).

Results
Volume ... 101.98 Å³/f.u.
Formation enthalpy at 0 K ... -2.05 eV per formula unit

a = 4.1130 Å, b = 4.1130 Å, c = 12.0564 Å
α = 90.00°, β = 90.00°, γ = 90.00°
Closest atoms and distances in Å follow each position.
Positions (direct):
Ba  0.7500  0.7500  0.2200  5 P 3.33-3.68, 4 Co 3.36
Ba  0.2500  0.2500  0.7800  5 P 3.33-3.68, 4 Co 3.36
Tl  0.2500  0.7500  0.5000  4 Tl 2.91
Tl  0.7500  0.2500  0.5000  4 Tl 2.91
Co  0.7500  0.2500  0.0000  4 P 2.30
Co  0.2500  0.7500  0.0000  4 P 2.30
P  0.7500  0.7500  0.9144  4 Co 2.30
P  0.2500  0.2500  0.0856  4 Co 2.30

***

Entry 11:
Entry from Alexandria via LeMat-Bulk: a geometry-optimized MgW2Br structure (GGA-PBE).

Results
Volume ... 67.87 Å³/f.u.
ΔE to the lowest computed polymorph ... 1.249 eV per atom
Energy relative to the elements, uncorrected ... 1.533 eV per atom

a = 4.5785 Å, b = 4.5785 Å, c = 4.5785 Å
α = 60.00°, β = 60.00°, γ = 60.00°
Closest atoms and distances in Å follow each position.
Positions (direct):
Mg  0.0000  0.0000  0.0000  8 W 2.80
Br  0.5000  0.5000  0.5000  8 W 2.80
W  0.2500  0.2500  0.2500  4 Br 2.80, 4 Mg 2.80
W  0.7500  0.7500  0.7500  4 Br 2.80, 4 Mg 2.80

***

Entry 12:
Entry from Alexandria via LeMat-Bulk: a geometry-optimized Li3Ge2Pt structure (GGA-PBE).

Results
Volume ... 100.52 Å³/f.u.
Formation enthalpy at 0 K ... -2.20 eV per formula unit

a = 5.4482 Å, b = 5.5472 Å, c = 7.7048 Å
α = 111.10°, β = 110.71°, γ = 90.00°
Closest atoms and distances in Å follow each position.
Positions (direct):
Li  0.4351  0.6673  0.3346  5 Ge 2.67-2.82, 2 Li 2.91
Li  0.5649  0.3327  0.6654  5 Ge 2.67-2.82, 2 Li 2.91
Li  0.1005  0.8327  0.6654  5 Ge 2.67-2.82, 2 Li 2.91
Li  0.8995  0.1673  0.3346  5 Ge 2.67-2.82, 2 Li 2.91
Li  0.5000  0.7500  0.0000  4 Ge 2.69, 2 Pt 2.72, 6 Li 2.77-2.91
Li  0.5000  0.2500  0.0000  4 Ge 2.69, 2 Pt 2.72, 6 Li 2.77-2.91
Ge  0.3580  0.1318  0.2636  2 Pt 2.55, 7 Li 2.67-2.82
Ge  0.6420  0.8682  0.7364  2 Pt 2.55, 7 Li 2.67-2.82
Ge  0.0943  0.3682  0.7364  2 Pt 2.55, 7 Li 2.67-2.82
Ge  0.9057  0.6318  0.2636  2 Pt 2.55, 7 Li 2.67-2.82
Pt  0.0000  0.2500  0.0000  4 Ge 2.55, 2 Li 2.72, 2 Pt 2.77
Pt  0.0000  0.7500  0.0000  4 Ge 2.55, 2 Li 2.72, 2 Pt 2.77